# 1
Density functional theory data (PBE-GGA) for an optimized crystal structure of Mg6TiSb.

## Properties
- Formation energy from raw total energies: -0.01 eV per formula unit
- Total moment: 2.17 μB/cell
- Total energy: -2.70 eV/atom
- ρ: 3.00 g cm⁻³

Lattice parameters (Å, degrees): 5.266 6.008 11.047 90.00 90.00 90.00
Space group Amm2 (No. 38)
Unique sites:
Mg (0.000, 0.000, 0.000) x2
Mg (0.000, 0.000, 0.494) x2
Mg (0.000, 0.242, 0.246) x4
Mg (0.500, 0.248, 0.585) x4
Ti (0.500, 0.000, 0.337) x2
Sb (0.500, 0.000, 0.836) x2

---

# 2
Density functional theory data (PBE-GGA) for an optimized crystal structure of MgZrCr2B.

## Properties
- Total moment: 5.13 μB/cell
- Total energy: -5.67 eV/atom
- Energy of formation from the pure elements: 1.5448 eV/atom
- ρ: 4.54 g cm⁻³

Lattice parameters (Å, degrees): 4.543 4.543 4.084 90.00 90.00 90.00
Space group P4/mmm (No. 123)
Unique sites:
Mg (0.000, 0.000, 0.000) x1
Zr (0.500, 0.500, 0.500) x1
Cr (0.000, 0.500, 0.000) x2
B (0.000, 0.000, 0.500) x1

---

# 3
Density functional theory data (PBE-GGA) for an optimized crystal structure of InBiRh.

## Properties
- Total moment: 0.00 μB/cell
- Total energy: -4.73 eV/atom
- Energy of formation from the pure elements: -0.0710 eV/atom
- ρ: 10.16 g cm⁻³

Lattice parameters (Å, degrees): 9.270 6.588 5.884 90.00 129.08 90.00
Space group C2/c (No. 15)
Unique sites:
In (0.000, 0.154, 0.250) x4
Bi (0.250, 0.250, 0.000) x4
Rh (0.000, 0.500, 0.000) x4

---

# 4
Density functional theory data (PBE-GGA) for an optimized crystal structure of BaC3Se.

## Properties
- Formation energy from raw total energies: 18.52 eV per formula unit
- Total moment: 4.12 μB/cell
- Total energy: -2.91 eV/atom
- ρ: 3.09 g cm⁻³

Lattice parameters (Å, degrees): 5.137 5.137 5.137 90.00 90.00 90.00
Space group Pm-3m (No. 221)
Unique sites:
Ba (0.000, 0.000, 0.000) x1
C (0.000, 0.000, 0.500) x3
Se (0.500, 0.500, 0.500) x1

---

# 5
Density functional theory data (PBE-GGA) for an optimized crystal structure of CsSrTlCr2.

## Properties
- Total moment: 10.46 μB/cell
- Total energy: -3.11 eV/atom
- Energy of formation from the pure elements: 1.7189 eV/atom
- ρ: 3.86 g cm⁻³

Lattice parameters (Å, degrees): 5.865 5.865 6.623 90.00 90.00 90.00
Space group P4/mmm (No. 123)
Unique sites:
Cs (0.000, 0.000, 0.000) x1
Sr (0.000, 0.000, 0.500) x1
Tl (0.500, 0.500, 0.500) x1
Cr (0.000, 0.500, 0.000) x2

---

# 6
Density functional theory data (PBE-GGA) for an optimized crystal structure of SrTeH3.

## Properties
- Total moment: 0.00 μB/cell
- Total energy: -3.26 eV/atom
- ρ: 3.22 g cm⁻³

Lattice parameters (Å, degrees): 15.143 6.180 4.828 90.00 95.01 90.00
Space group C2/m (No. 12)
Unique sites:
Sr (0.196, 0.000, 0.181) x4
Te (0.151, 0.500, 0.292) x4
H (0.041, 0.000, 0.798) x4
H (0.076, 0.000, 0.698) x4
H (0.153, 0.500, 0.779) x4

---

Q: Which of these has the lowest ρ?
A: Mg6TiSb